# NiGeSb2

Crystalline NiGeSb2 at its relaxed geometry (PBE, Alexandria via LeMat-Bulk).

Calculated values
* formation energy from raw total energies: 0.067 eV/atom

Cell lengths 7.2717, 7.2717, 7.2717 Å; angles 131.33, 131.33, 71.30 degrees
With the nearest neighbours (Å) after each atom.
Fractional positions:
Ni (0.0000, 0.0000, 0.0000)  4 Sb 2.46
Ni (0.7500, 0.2500, 0.5000)  4 Sb 2.46
Ge (0.2500, 0.7500, 0.5000)  4 Sb 2.72
Ge (0.5000, 0.5000, 0.0000)  4 Sb 2.72
Sb (0.0881, 0.6250, 0.9631)  2 Ni 2.46, 2 Ge 2.72
Sb (0.3750, 0.3381, 0.4631)  2 Ni 2.46, 2 Ge 2.72
Sb (0.6619, 0.1250, 0.0369)  2 Ni 2.46, 2 Ge 2.72
Sb (0.8750, 0.9119, 0.5369)  2 Ni 2.46, 2 Ge 2.72

# CsSeO2F

Crystalline CsSeO2F at its relaxed geometry (PBE, Alexandria via LeMat-Bulk).

Calculated values
* formation energy from raw total energies: 0.556 eV/atom

Cell lengths 4.4907, 4.4907, 5.4131 Å; angles 90.00, 90.00, 90.00 degrees
With the nearest neighbours (Å) after each atom.
Fractional positions:
Cs (0.0000, 0.0000, 0.0000)  4 O 2.25
Se (0.5000, 0.5000, 0.5000)  4 F 3.18, 8 O 3.52
O (0.0000, 0.5000, 0.0000)  2 Cs 2.25
O (0.5000, 0.0000, 0.0000)  2 Cs 2.25
F (0.0000, 0.0000, 0.5000)  2 Cs 2.71

# CuMo2Pb

Crystalline CuMo2Pb at its relaxed geometry (PBE, Alexandria via LeMat-Bulk).

Calculated values
* DFT formation energy: 0.828 eV per atom

Cell lengths 9.2691, 9.2691, 9.2691 Å; angles 18.51, 18.51, 18.51 degrees
With the nearest neighbours (Å) after each atom.
Fractional positions:
Cu (0.0000, 0.0000, 0.0000)  6 Mo 2.70, 6 Cu 2.98
Mo (0.2573, 0.2573, 0.2573)  3 Cu 2.70, 6 Mo 2.98, 3 Pb 3.02
Mo (0.7427, 0.7427, 0.7427)  3 Cu 2.70, 6 Mo 2.98, 3 Pb 3.02
Pb (0.5000, 0.5000, 0.5000)  6 Pb 2.98, 6 Mo 3.02

# Nd2ErSn

Crystalline Nd2ErSn at its relaxed geometry (PBE, Alexandria via LeMat-Bulk).

Calculated values
* energy above the most stable polymorph in this dataset: 0.0624 eV per atom
* DFT formation energy: -0.366 eV per atom

Cell lengths 4.2842, 4.2842, 6.6945 Å; angles 90.00, 90.00, 90.00 degrees
With the nearest neighbours (Å) after each atom.
Fractional positions:
Nd (0.0000, 0.0000, 0.2321)  1 Nd 3.11, 4 Sn 3.40
Nd (0.0000, 0.0000, 0.7679)  1 Nd 3.11, 4 Sn 3.40
Er (0.5000, 0.5000, 0.5000)  2 Sn 3.35, 8 Nd 3.52
Sn (0.5000, 0.5000, 0.0000)  2 Er 3.35, 8 Nd 3.40

# YBRu2O

Crystalline YBRu2O at its relaxed geometry (PBE, Alexandria via LeMat-Bulk).

Calculated values
* formation energy from raw total energies: 0.093 eV/atom

Cell lengths 4.0537, 4.0537, 4.3816 Å; angles 90.00, 90.00, 90.00 degrees
With the nearest neighbours (Å) after each atom.
Fractional positions:
Y (0.0000, 0.0000, 0.0000)  2 O 2.19
B (0.5000, 0.5000, 0.0000)  4 Y 2.87, 8 Ru 2.98
Ru (0.0000, 0.5000, 0.5000)  2 O 2.03
Ru (0.5000, 0.0000, 0.5000)  2 O 2.03
O (0.0000, 0.0000, 0.5000)  4 Ru 2.03, 2 Y 2.19

# CaGaSn4

Crystalline CaGaSn4 at its relaxed geometry (PBE, Alexandria via LeMat-Bulk).

Calculated values
* DFT formation energy: -0.112 eV per atom

Cell lengths 6.2113, 6.2113, 6.2113 Å; angles 60.00, 60.00, 60.00 degrees
With the nearest neighbours (Å) after each atom.
Fractional positions:
Ca (0.0000, 0.0000, 0.0000)  12 Sn 3.64, 4 Ga 3.80
Ga (0.2500, 0.2500, 0.2500)  12 Sn 3.64, 4 Ca 3.80
Sn (0.1261, 0.6246, 0.6246)  6 Sn 3.10-3.11
Sn (0.6246, 0.1261, 0.6246)  6 Sn 3.10-3.11
Sn (0.6246, 0.6246, 0.1261)  6 Sn 3.10-3.11
Sn (0.6246, 0.6246, 0.6246)  6 Sn 3.10-3.11

# Mn2TePt

Crystalline Mn2TePt at its relaxed geometry (PBE, Alexandria via LeMat-Bulk).

Calculated values
* formation energy from raw total energies: 0.060 eV/atom

Cell lengths 5.3160, 5.3160, 4.1665 Å; angles 112.19, 112.19, 40.21 degrees
With the nearest neighbours (Å) after each atom.
Fractional positions:
Mn (0.0000, 0.0000, 0.0000)  2 Pt 2.77, 4 Te 2.79, 4 Mn 2.96-3.06
Mn (0.2315, 0.2315, 0.7254)  4 Pt 2.75-2.79, 4 Te 2.94-3.05, 4 Mn 2.96-3.06
Te (0.4650, 0.4650, 0.4658)  8 Mn 2.79-3.05, 2 Pt 2.83
Pt (0.7283, 0.7283, 0.2168)  6 Mn 2.75-2.79, 2 Te 2.83

# LiPu2ZnO8

Crystalline LiPu2ZnO8 at its relaxed geometry (PBE, Alexandria via LeMat-Bulk).

Calculated values
* formation energy from raw total energies: -1.677 eV/atom

Cell lengths 6.6468, 6.6468, 6.6468 Å; angles 128.40, 128.40, 75.98 degrees
With the nearest neighbours (Å) after each atom.
Fractional positions:
Li (0.0000, 0.0000, 0.0000)  4 O 1.99
Pu (0.5000, 0.5000, 0.0000)  4 O 1.98
Pu (0.7500, 0.2500, 0.5000)  4 O 1.93
Zn (0.2500, 0.7500, 0.5000)  4 O 1.94
O (0.3616, 0.1297, 0.7681)  1 Zn 1.94, 1 Pu 1.98
O (0.3616, 0.5936, 0.2319)  1 Zn 1.94, 1 Pu 1.98
O (0.3894, 0.1127, 0.2767)  1 Pu 1.93, 1 Li 1.99
O (0.4064, 0.6384, 0.7681)  1 Zn 1.94, 1 Pu 1.98
O (0.8360, 0.1127, 0.7233)  1 Pu 1.93, 1 Li 1.99
O (0.8703, 0.6384, 0.2319)  1 Zn 1.94, 1 Pu 1.98
O (0.8873, 0.1640, 0.2767)  1 Pu 1.93, 1 Li 1.99
O (0.8873, 0.6106, 0.7233)  1 Pu 1.93, 1 Li 1.99

Question: Which formula does entry 8 have?
Answer: LiPu2ZnO8